A plane-wave DFT calculation with PBE was carried out for a relaxed ZrHW2 crystal.

## Properties
**Magnetic moment**: 0.00 μB/f.u.
**Space-group type**: No. 225
**Offset from the most stable computed form**: 1.225 eV/atom

a b c (Å): 4.458 4.458 4.458
angles (deg): 60.00 60.00 60.00
Sites, in units of the cell vectors:
Zr  0.000  0.000  0.000
H  0.500  0.500  0.500
W  0.250  0.250  0.250
W  0.750  0.750  0.750

---

A plane-wave DFT calculation with PBE was carried out for a relaxed ZrH3W crystal.

## Properties
**Magnetic moment**: 0.00 μB/f.u.
**Space-group type**: No. 221
**Offset from the most stable computed form**: 0.000 eV/atom

a b c (Å): 3.597 3.597 3.597
angles (deg): 90.00 90.00 90.00
Sites, in units of the cell vectors:
Zr  0.000  0.000  0.000
H  0.000  0.500  0.500
H  0.500  0.000  0.500
H  0.500  0.500  0.000
W  0.500  0.500  0.500